No. 1
Entry from the Alexandria database: an optimized crystal structure of La2ScPb (GGA-PBE).

Cell lengths 11.1831, 11.1831, 11.1831 Å; angles 18.53, 18.53, 18.53 degrees
Element x y z (fractional)
La: 0.0000 0.0000 0.0000
La: 0.2427 0.2427 0.2427
Sc: 0.7502 0.7502 0.7502
Pb: 0.4911 0.4911 0.4911

Values from the calculation:
**Space group**: R3m, No. 160
**Uncorrected energy**: -0.1866 Ha/atom

=====

No. 2
Entry from the Alexandria database: an optimized crystal structure of La2ScPb (GGA-PBE).

Cell lengths 11.2861, 11.2861, 11.2861 Å; angles 18.66, 18.66, 18.66 degrees
Element x y z (fractional)
La: 0.2489 0.2489 0.2489
La: 0.7511 0.7511 0.7511
Sc: 0.5000 0.5000 0.5000
Pb: 0.0000 0.0000 0.0000

Values from the calculation:
**Space group**: R-3m, No. 166
**Uncorrected energy**: -0.1854 Ha/atom

=====

No. 3
Entry from the Alexandria database: an optimized crystal structure of LaSc2Pb (GGA-PBE).

Cell lengths 4.1299, 4.1299, 6.5315 Å; angles 90.00, 90.00, 90.00 degrees
Element x y z (fractional)
La: 0.0000 0.0000 0.0000
Sc: 0.0000 0.0000 0.4818
Sc: 0.5000 0.5000 0.7177
Pb: 0.5000 0.5000 0.2599

Values from the calculation:
**Space group**: P4mm, No. 99
**Uncorrected energy**: -0.2026 Ha/atom

=====

No. 4
Entry from the Alexandria database: an optimized crystal structure of La6ScPb (GGA-PBE).

Cell lengths 5.0917, 5.0917, 10.2892 Å; angles 90.00, 90.00, 90.00 degrees
Element x y z (fractional)
La: 0.0000 0.0000 0.0000
La: 0.0000 0.0000 0.5000
La: 0.0000 0.5000 0.2502
La: 0.0000 0.5000 0.7498
La: 0.5000 0.0000 0.2502
La: 0.5000 0.0000 0.7498
Sc: 0.5000 0.5000 0.0000
Pb: 0.5000 0.5000 0.5000

Values from the calculation:
**Space group**: P4/mmm, No. 123
**Uncorrected energy**: -0.1876 Ha/atom

=====

No. 5
Entry from the Alexandria database: an optimized crystal structure of La3Sc2Pb4 (GGA-PBE).

Cell lengths 6.9714, 6.9714, 9.7777 Å; angles 112.26, 112.26, 40.19 degrees
Element x y z (fractional)
La: 0.0000 0.0000 0.0000
La: 0.3740 0.3740 0.3037
La: 0.6260 0.6260 0.6963
Sc: 0.3115 0.3115 0.6381
Sc: 0.6885 0.6885 0.3619
Pb: 0.0757 0.0757 0.3956
Pb: 0.3005 0.3005 0.9311
Pb: 0.6995 0.6995 0.0689
Pb: 0.9243 0.9243 0.6044

Values from the calculation:
**Space group**: C2/m, No. 12
**Uncorrected energy**: -0.1909 Ha/atom

=====

No. 6
Entry from the Alexandria database: an optimized crystal structure of LaSc2Pb (GGA-PBE).

Cell lengths 3.3804, 3.3804, 10.8382 Å; angles 90.00, 90.00, 115.72 degrees
Element x y z (fractional)
La: 0.0000 0.0000 0.0000
Sc: 0.5000 0.5000 0.2690
Sc: 0.5000 0.5000 0.7310
Pb: 0.0000 0.0000 0.5000

Values from the calculation:
**Space group**: Cmmm, No. 65
**Uncorrected energy**: -0.1971 Ha/atom

=====

No. 7
Entry from the Alexandria database: an optimized crystal structure of LaScPb4 (GGA-PBE).

Cell lengths 6.4306, 6.4306, 6.4306 Å; angles 60.00, 60.00, 60.00 degrees
Element x y z (fractional)
La: 0.0000 0.0000 0.0000
Sc: 0.2500 0.2500 0.2500
Pb: 0.1263 0.6246 0.6246
Pb: 0.6246 0.1263 0.6246
Pb: 0.6246 0.6246 0.1263
Pb: 0.6246 0.6246 0.6246

Values from the calculation:
**Space group**: F-43m, No. 216
**Uncorrected energy**: -0.1617 Ha/atom

=====

No. 8
Entry from the Alexandria database: an optimized crystal structure of LaSc2Pb (GGA-PBE).

Cell lengths 11.4189, 11.4189, 11.4189 Å; angles 156.64, 156.64, 33.28 degrees
Element x y z (fractional)
La: 0.0000 0.0000 0.0000
La: 0.7500 0.2500 0.5000
Sc: 0.1403 0.6250 0.0153
Sc: 0.3750 0.3903 0.5153
Sc: 0.6097 0.1250 0.9847
Sc: 0.8750 0.8597 0.4847
Pb: 0.2500 0.7500 0.5000
Pb: 0.5000 0.5000 0.0000

Values from the calculation:
**Space group**: I-42d, No. 122
**Uncorrected energy**: -0.1951 Ha/atom

=====

Repeat the fourth record exactly.
Entry from the Alexandria database: an optimized crystal structure of La6ScPb (GGA-PBE).

Cell lengths 5.0917, 5.0917, 10.2892 Å; angles 90.00, 90.00, 90.00 degrees
Element x y z (fractional)
La: 0.0000 0.0000 0.0000
La: 0.0000 0.0000 0.5000
La: 0.0000 0.5000 0.2502
La: 0.0000 0.5000 0.7498
La: 0.5000 0.0000 0.2502
La: 0.5000 0.0000 0.7498
Sc: 0.5000 0.5000 0.0000
Pb: 0.5000 0.5000 0.5000

Values from the calculation:
**Space group**: P4/mmm, No. 123
**Uncorrected energy**: -0.1876 Ha/atom

=====

Which formula does entry 6 have? LaSc2Pb

=====

What is the uncorrected energy in the third record? -0.2026 Ha/atom